*a*
VASP calculation (PBE-GGA) on a relaxed structure of Na3Tc2O8.

a = 5.796 Å, b = 6.817 Å, c = 6.418 Å
α = 57.92°, β = 71.77°, γ = 90.00°
Positions (direct):
O (0.811, 0.632, 0.737)
O (0.236, 0.842, 0.739)
O (0.236, 0.419, 0.739)
O (0.257, 0.868, 0.265)
O (0.189, 0.368, 0.263)
Na (0.500, 0.735, 0.000)
O (0.743, 0.132, 0.735)
O (0.764, 0.581, 0.261)
Na (0.000, 0.000, 0.000)
Tc (0.862, 0.309, 0.382)
Tc (0.138, 0.691, 0.618)
O (0.764, 0.158, 0.261)
Na (0.500, 0.265, 0.000)

- SG: C2/m (12)
- Magnetization: 1.09 μB per cell



*b*
VASP calculation (PBE-GGA) on a relaxed structure of Na3Tc2O8.

a = 5.957 Å, b = 5.957 Å, c = 7.195 Å
α = 65.54°, β = 65.54°, γ = 60.00°
Positions (direct):
O (0.734, 0.734, 0.285)
Na (0.183, 0.183, 0.450)
Na (0.817, 0.817, 0.550)
Tc (0.602, 0.602, 0.194)
O (0.752, 0.266, 0.715)
Na (0.000, 0.000, 0.000)
O (0.248, 0.734, 0.285)
O (0.266, 0.266, 0.715)
O (0.305, 0.305, 0.084)
O (0.734, 0.248, 0.285)
O (0.266, 0.752, 0.715)
Tc (0.398, 0.398, 0.806)
O (0.695, 0.695, 0.916)

- SG: R-3m (166)
- Magnetization: 1.08 μB per cell



Most stable to least stable, the ends of the list are *a* and *b*.



*a*
VASP calculation (PBE-GGA) on a relaxed structure of Na2TeO4.

a = 5.249 Å, b = 10.773 Å, c = 14.091 Å
α = 103.65°, β = 90.00°, γ = 90.00°
Positions (direct):
Na (0.262, 0.645, 0.804)
O (0.095, 0.816, 0.713)
O (0.905, 0.184, 0.287)
Te (0.723, 0.223, 0.422)
O (0.918, 0.280, 0.046)
Na (0.399, 0.958, 0.812)
O (0.350, 0.931, 0.059)
O (0.047, 0.323, 0.451)
O (0.417, 0.442, 0.796)
O (0.150, 0.931, 0.559)
Na (0.899, 0.042, 0.688)
O (0.598, 0.862, 0.644)
O (0.547, 0.370, 0.378)
O (0.953, 0.677, 0.549)
Na (0.256, 0.129, 0.034)
O (0.547, 0.677, 0.049)
Na (0.601, 0.042, 0.188)
Na (0.249, 0.433, 0.100)
Na (0.762, 0.355, 0.696)
O (0.082, 0.720, 0.954)
O (0.850, 0.069, 0.441)
Te (0.223, 0.777, 0.078)
O (0.638, 0.765, 0.809)
Na (0.738, 0.355, 0.196)
O (0.582, 0.280, 0.546)
Te (0.723, 0.709, 0.183)
O (0.650, 0.069, 0.941)
Na (0.238, 0.645, 0.304)
O (0.098, 0.138, 0.856)
O (0.595, 0.184, 0.787)
Te (0.777, 0.223, 0.922)
O (0.902, 0.862, 0.144)
Na (0.756, 0.871, 0.466)
Te (0.223, 0.291, 0.317)
O (0.917, 0.558, 0.704)
O (0.453, 0.630, 0.622)
O (0.047, 0.630, 0.122)
O (0.362, 0.235, 0.191)
Te (0.277, 0.291, 0.817)
O (0.583, 0.558, 0.204)
Na (0.244, 0.129, 0.534)
O (0.402, 0.138, 0.356)
O (0.418, 0.720, 0.454)
Na (0.744, 0.871, 0.966)
O (0.083, 0.442, 0.296)
O (0.405, 0.816, 0.213)
O (0.138, 0.235, 0.691)
O (0.453, 0.323, 0.951)
O (0.862, 0.765, 0.309)
Na (0.251, 0.433, 0.600)
O (0.953, 0.370, 0.878)
Na (0.751, 0.567, 0.900)
Te (0.277, 0.777, 0.578)
Na (0.101, 0.958, 0.312)
Te (0.777, 0.709, 0.683)
Na (0.749, 0.567, 0.400)

- SG: P2_1/c (14)
- Magnetization: 0.00 μB per cell



*b*
VASP calculation (PBE-GGA) on a relaxed structure of Na2TeO4.

a = 3.090 Å, b = 6.270 Å, c = 6.045 Å
α = 124.54°, β = 104.81°, γ = 90.00°
Positions (direct):
O (0.357, 0.814, 0.714)
Te (0.000, 0.000, 0.000)
Na (0.356, 0.373, 0.712)
Na (0.644, 0.627, 0.288)
O (0.976, 0.270, 0.953)
O (0.024, 0.730, 0.047)
O (0.643, 0.186, 0.286)

- SG: C2/m (12)
- Magnetization: 0.00 μB per cell



*c*
VASP calculation (PBE-GGA) on a relaxed structure of Na2TeO4.

a = 3.948 Å, b = 3.948 Å, c = 6.674 Å
α = 72.80°, β = 72.80°, γ = 90.00°
Positions (direct):
Na (0.342, 0.342, 0.315)
O (0.000, 0.500, 0.000)
O (0.500, 0.000, 0.000)
O (0.846, 0.846, 0.309)
O (0.154, 0.154, 0.691)
Te (0.000, 0.000, 0.000)
Na (0.658, 0.658, 0.685)

- SG: I4/mmm (139)
- Magnetization: 0.00 μB per cell



*d*
VASP calculation (PBE-GGA) on a relaxed structure of Na2TeO4.

a = 6.782 Å, b = 6.782 Å, c = 8.736 Å
α = 90.00°, β = 90.00°, γ = 90.00°
Positions (direct):
Te (0.000, 0.759, 0.500)
O (0.577, 0.793, 0.229)
Na (0.265, 0.265, 0.375)
O (0.982, 0.796, 0.272)
O (0.793, 0.423, 0.979)
Te (0.241, 0.000, 0.750)
O (0.018, 0.204, 0.772)
O (0.796, 0.982, 0.478)
O (0.577, 0.207, 0.271)
Na (0.265, 0.735, 0.125)
Te (0.759, 0.000, 0.250)
O (0.207, 0.423, 0.021)
O (0.018, 0.796, 0.728)
O (0.207, 0.577, 0.479)
Na (0.735, 0.735, 0.875)
O (0.793, 0.577, 0.521)
Na (0.758, 0.500, 0.250)
O (0.796, 0.018, 0.022)
O (0.204, 0.982, 0.522)
O (0.423, 0.207, 0.729)
Na (0.500, 0.758, 0.500)
O (0.204, 0.018, 0.978)
O (0.982, 0.204, 0.228)
Na (0.735, 0.265, 0.625)
O (0.423, 0.793, 0.771)
Na (0.500, 0.242, 0.000)
Te (0.000, 0.241, 0.000)
Na (0.242, 0.500, 0.750)

- SG: P4_122 (91)
- Magnetization: 0.09 μB per cell



Most stable to least stable, the ends of the list are *d* and *c*.